Record 1
Computed, not measured: a relaxed structure of NaLiIn3 at the PBE level of DFT.

a b c (Å): 5.5281 5.5281 5.5281
angles (deg): 90.00 90.00 90.00
With the nearest neighbours (Å) after each atom.
Space group Pm-3m (No. 221)
Asymmetric unit:
Na1 0.0000 0.0000 0.0000 (multiplicity 1)  6 In 2.76
Li1 0.5000 0.5000 0.5000 (multiplicity 1)  12 In 3.91
In1 0.0000 0.0000 0.5000 (multiplicity 3)  2 Na 2.76

Properties
Calculated volume (A^3/atom): 33.8
Energy of formation (eV per formula unit): 2.2
Polymorph energy (0 for the lowest one) (meV per atom): 566.9


Record 2
Computed, not measured: a relaxed structure of Na2LiIn2 at the PBE level of DFT.

a b c (Å): 9.1085 9.1085 3.3622
angles (deg): 90.00 90.00 90.00
With the nearest neighbours (Å) after each atom.
Space group P4/mbm (No. 127)
Asymmetric unit:
Na1 0.1797 0.3203 0.0000 (multiplicity 4)  6 In 3.10-3.24, 2 Na 3.36
Li1 0.0000 0.0000 0.5000 (multiplicity 2)  2 Li 3.36, 4 In 3.64, 8 Na 3.74
In1 0.1183 0.6183 0.5000 (multiplicity 4)  3 In 3.05-3.36, 6 Na 3.10-3.24

Properties
Calculated volume (A^3/atom): 27.9
Energy of formation (eV per formula unit): -0.1
Polymorph energy (0 for the lowest one) (meV per atom): 33.8


Record 3
Computed, not measured: a relaxed structure of Na2LiIn9 at the PBE level of DFT.

a b c (Å): 4.6786 4.6786 14.0448
angles (deg): 90.00 90.00 90.00
With the nearest neighbours (Å) after each atom.
Space group P4/mmm (No. 123)
Asymmetric unit:
Na1 0.0000 0.0000 0.1716 (multiplicity 2)  12 In 3.31-3.36
Li1 0.0000 0.0000 0.5000 (multiplicity 1)  12 In 3.23-3.31
In1 0.0000 0.5000 0.0000 (multiplicity 2)  8 In 3.31-3.34, 4 Na 3.36
In2 0.0000 0.5000 0.3419 (multiplicity 4)  2 Li 3.23, 8 In 3.23-3.37, 2 Na 3.35
In3 0.5000 0.5000 0.1696 (multiplicity 2)  4 Na 3.31, 8 In 3.34-3.37
In4 0.5000 0.5000 0.5000 (multiplicity 1)  8 In 3.23, 4 Li 3.31

Properties
Calculated volume (A^3/atom): 25.6
Energy of formation (eV per formula unit): -1.1


Record 4
Computed, not measured: a relaxed structure of NaLi4In at the PBE level of DFT.

a b c (Å): 7.9236 7.9236 7.9236
angles (deg): 90.00 90.00 90.00
With the nearest neighbours (Å) after each atom.
Space group F-43m (No. 216)
Asymmetric unit:
Na1 0.0000 0.0000 0.0000 (multiplicity 4)  12 Li 3.29, 4 In 3.43
Li1 0.1232 0.1232 0.3768 (multiplicity 16)  6 Li 2.76-2.84
In1 0.2500 0.2500 0.7500 (multiplicity 4)  12 Li 3.28, 4 Na 3.43

Properties
Calculated volume (A^3/atom): 20.7
Energy of formation (eV per formula unit): -0.3


Record 5
Computed, not measured: a relaxed structure of NaLi2In8 at the PBE level of DFT.

a b c (Å): 8.3979 13.4291 5.1672
angles (deg): 90.00 108.78 90.00
With the nearest neighbours (Å) after each atom.
Space group C2/m (No. 12)
Asymmetric unit:
Na1 0.0000 0.0000 0.0000 (multiplicity 2)  8 In 3.09-3.39
Li1 0.0000 0.3102 0.5000 (multiplicity 4)  8 In 2.77-3.02
In1 0.0000 0.2362 0.0000 (multiplicity 4)  2 Li 2.77
In2 0.1117 0.5000 0.8023 (multiplicity 4)  2 Li 2.98, 4 In 3.08-3.29, 1 Na 3.09
In3 0.2042 0.1209 0.6254 (multiplicity 8)  2 Li 2.91-3.02, 3 In 3.24-3.25

Properties
Calculated volume (A^3/atom): 25.1
Energy of formation (eV per formula unit): -0.6
Polymorph energy (0 for the lowest one) (meV per atom): 47.1


Record 6
Computed, not measured: a relaxed structure of NaLi3In12 at the PBE level of DFT.

a b c (Å): 4.6069 4.6069 18.3967
angles (deg): 90.00 90.00 90.00
With the nearest neighbours (Å) after each atom.
Space group P4/mmm (No. 123)
Asymmetric unit:
Na1 0.0000 0.0000 0.0000 (multiplicity 1)  12 In 3.26-3.35
Li1 0.0000 0.0000 0.2540 (multiplicity 2)  12 In 3.21-3.26
Li2 0.0000 0.0000 0.5000 (multiplicity 1)  12 In 3.23-3.26
In1 0.0000 0.5000 0.1321 (multiplicity 4)  2 Li 3.21, 8 In 3.22-3.35, 2 Na 3.35
In2 0.0000 0.5000 0.3768 (multiplicity 4)  8 In 3.22-3.26, 4 Li 3.23
In3 0.5000 0.5000 0.0000 (multiplicity 1)  4 Na 3.26, 8 In 3.35
In4 0.5000 0.5000 0.2542 (multiplicity 2)  8 In 3.22, 4 Li 3.26
In5 0.5000 0.5000 0.5000 (multiplicity 1)  8 In 3.23, 4 Li 3.26

Properties
Calculated volume (A^3/atom): 24.4
Energy of formation (eV per formula unit): -1.9


DFT total energy (eV/atom)
-1.86 -2.02 -2.52 -2.00 -2.51 -2.61
Calculated density (g/cm3)
3.68 3.36 5.87 2.21 5.75 6.05
Fermi-level density of states (states/eV/cell)
2.4 4.1 7.3 14.0 8.5 7.6